An optimized crystal structure of Ni2TeOs. Source: Alexandria, functional PBE.

Cell and atoms, written as POSCAR:
```
Ni2TeOs
1.0
-1.3501 2.2001 -1.9388
-0.3677 -2.2445 -2.2910
-4.9926 -1.2652 2.0410
Os Ni Te
1 2 1
Cartesian
-2.3921 -0.6062 0.9779
-0.1163 -0.0295 0.0475
-2.0198 -0.3164 -1.6403
-4.6787 -0.9902 -0.5534
```

Properties
The uncorrected formation energy is 0.40 eV per atom. The total energy comes out at -6.085 eV per atom.

***

An optimized crystal structure of Na2GeAu. Source: Alexandria, functional PBE.

Cell and atoms, written as POSCAR:
```
Na2GeAu
1.0
5.5841 0.0000 0.0000
0.0000 5.8671 -0.0971
0.0000 -1.6155 5.6412
Au Ge Na
2 2 4
Cartesian
2.7921 2.1258 2.7721
0.0000 2.1258 2.7721
1.3960 0.7856 1.0244
4.1881 3.4661 4.5197
1.3960 -0.9283 3.6666
4.1881 0.4697 5.4896
4.1881 5.1799 1.8775
1.3960 3.7819 0.0545
```

Properties
As for the formation enthalpy at 0 K: -0.21 eV per atom. The total energy comes out at -2.842 eV per atom.

***

An optimized crystal structure of Y2ZnSi. Source: Alexandria, functional PBE.

Cell and atoms, written as POSCAR:
```
Y2ZnSi
1.0
4.0490 0.0000 0.0000
0.0000 5.7923 -0.0775
0.0000 -2.9915 7.9041
Y Zn Si
4 2 2
Cartesian
3.0367 -1.5395 7.3413
1.0122 2.8082 4.4616
3.0367 -0.0074 3.3650
1.0122 4.3403 0.4854
1.0122 -0.0708 5.6192
3.0367 2.8716 2.2074
3.0367 1.3878 6.1734
1.0122 1.4130 1.6532
```

Properties
The uncorrected formation energy is -0.59 eV per atom. The total energy comes out at -5.497 eV per atom.

***

An optimized crystal structure of KMoIN2. Source: Alexandria, functional PBE.

Cell and atoms, written as POSCAR:
```
KMoIN2
1.0
4.2841 0.0000 0.0000
0.0000 4.2841 0.0000
0.0000 0.0000 5.7961
Mo K I N
1 1 1 2
Cartesian
2.1420 2.1420 2.8980
0.0000 0.0000 0.0000
0.0000 0.0000 2.8980
2.1420 0.0000 0.0000
0.0000 2.1420 0.0000
```

Properties
The uncorrected formation energy is 3.08 eV per atom. The energy above the most stable polymorph in this dataset is 2.791 eV per atom. The total energy comes out at -2.944 eV per atom.

***

An optimized crystal structure of TbSmIn2. Source: Alexandria, functional PBE.

Cell and atoms, written as POSCAR:
```
TbSmIn2
1.0
-2.1478 2.5920 1.2055
1.8109 -0.9205 5.2078
3.6332 3.8485 -1.7991
Sm Tb In
1 1 2
Cartesian
1.6481 2.7600 2.3071
-1.0739 1.2960 0.6028
1.8166 1.9242 -0.8996
0.9054 -0.4603 2.6039
```

Properties
As for the formation enthalpy at 0 K: -0.48 eV per atom. The total energy comes out at -4.190 eV per atom.

***

An optimized crystal structure of Na2SrAg2Bi2. Source: Alexandria, functional PBE.

Cell and atoms, written as POSCAR:
```
Na2SrAg2Bi2
1.0
5.0178 0.0000 0.0000
2.5089 4.3456 0.0000
2.5089 1.4485 9.3701
Na Ag Bi Sr
2 2 2 1
Cartesian
7.5267 4.3456 3.8185
2.5089 1.4485 5.5516
5.0178 2.8970 7.2127
5.0178 2.8970 2.1574
2.5089 1.4485 2.1597
7.5267 4.3456 7.2104
0.0000 0.0000 0.0000
```

Properties
As for the formation enthalpy at 0 K: -0.41 eV per atom. The total energy comes out at -2.949 eV per atom.

***

An optimized crystal structure of Ac12ZnSn7. Source: Alexandria, functional PBE.

Cell and atoms, written as POSCAR:
```
Ac12ZnSn7
1.0
9.7825 -0.1879 -0.2821
-2.9006 9.3444 -0.2821
-2.9006 -3.8594 8.5149
Ac Sn Zn
12 7 1
Cartesian
5.0336 0.4925 4.9043
2.7035 2.3916 7.8752
-1.3633 0.9355 2.7105
2.7657 6.0408 2.3434
1.2777 2.9056 0.0755
-1.0524 4.8047 3.0464
2.4357 -0.7142 1.9073
-0.9266 2.6110 6.4774
1.5455 6.0113 6.0435
4.9078 2.6861 1.4734
5.3445 4.3616 5.2403
1.2155 -0.7437 5.6073
1.9906 2.6486 3.9754
7.5303 -1.6372 5.0786
-3.5491 6.9343 2.8721
0.9674 -3.4148 7.5055
7.6477 3.2210 -0.2605
-3.6665 2.0762 8.2113
3.0138 8.7119 0.4452
0.0000 0.0000 0.0000
```

Properties
As for the formation enthalpy at 0 K: -0.45 eV per atom. The total energy comes out at -4.376 eV per atom.

***

An optimized crystal structure of Ti2Tc2W. Source: Alexandria, functional PBE.

Cell and atoms, written as POSCAR:
```
Ti2Tc2W
1.0
7.1098 0.0000 0.0000
0.0000 7.1098 0.0000
0.0000 0.0000 3.1544
Ti Tc W
4 4 2
Cartesian
5.9920 2.4371 1.5772
2.4371 1.1178 1.5772
4.6727 5.9920 1.5772
1.1178 4.6727 1.5772
2.4994 6.0543 0.0000
4.6104 1.0555 0.0000
6.0543 4.6104 0.0000
1.0555 2.4994 0.0000
0.0000 0.0000 0.0000
3.5549 3.5549 0.0000
```

Properties
The energy above the most stable polymorph in this dataset is 0.485 eV per atom. As for the formation enthalpy at 0 K: 0.12 eV per atom. The total energy comes out at -9.778 eV per atom.

***

An optimized crystal structure of FePRh2. Source: Alexandria, functional PBE.

Cell and atoms, written as POSCAR:
```
FePRh2
1.0
-2.6341 -2.0722 -2.0191
1.3742 -3.3002 1.5943
-2.2483 0.3214 2.6033
Rh P Fe
2 1 1
Cartesian
-0.6299 -2.6862 -0.2124
0.0000 0.0000 0.0000
-0.4371 -1.4894 2.0988
-2.4412 -0.8754 0.2921
```

Properties
As for the formation enthalpy at 0 K: -0.13 eV per atom. The total energy comes out at -7.269 eV per atom.

***

An optimized crystal structure of K6Ni3Cl14. Source: Alexandria, functional PBE.

Cell and atoms, written as POSCAR:
```
K6Ni3Cl14
1.0
-1.9011 6.1397 -1.7338
-7.3788 -4.2648 -7.0112
-2.8725 2.0627 10.4540
Ni K Cl
3 6 14
Cartesian
-4.9883 1.9355 4.0726
-6.7836 0.7732 -2.0166
-1.5714 5.0747 -1.4331
-7.0607 3.5044 0.9058
-9.2928 -0.7836 0.5234
-3.2600 0.8356 -0.3579
-6.6151 -1.5527 -5.1363
-7.3544 4.7969 5.8045
-3.0033 5.4284 3.2700
-7.1722 2.1938 3.7703
-10.1589 4.3256 1.7187
-4.1162 2.6898 2.1758
-4.4825 3.5254 5.5367
-5.5835 7.2650 7.1107
-8.0454 -1.1310 -2.3638
-7.2946 1.4469 -4.1767
-0.9354 3.0207 -0.8530
-4.8867 -0.2794 -2.8117
-2.9015 6.0968 0.0332
-8.6712 1.8571 -1.2145
-6.3004 0.1180 0.1458
-6.2528 6.0190 2.9194
-5.5244 2.6951 -1.6976
```

Properties
The uncorrected formation energy is -1.25 eV per atom. The total energy comes out at -3.418 eV per atom.

***

An optimized crystal structure of TaVPtW. Source: Alexandria, functional PBE.

Cell and atoms, written as POSCAR:
```
TaVPtW
1.0
4.4784 0.0000 0.0000
2.2392 3.8784 0.0000
2.2392 1.2928 3.6566
Pt V W Ta
1 1 1 1
Cartesian
6.7175 3.8784 2.7424
0.0000 0.0000 0.0000
2.2392 1.2928 0.9141
4.4784 2.5856 1.8283
```

Properties
As for the formation enthalpy at 0 K: -0.18 eV per atom. The total energy comes out at -10.169 eV per atom.

***

An optimized crystal structure of RbCaBeSiPdSe. Source: Alexandria, functional PBE.

Cell and atoms, written as POSCAR:
```
RbCaBeSiPdSe
1.0
9.9718 0.0000 -0.0314
0.0000 4.1966 0.0000
-0.0486 0.0000 7.2368
Se Ca Pd Rb Be Si
2 2 2 2 2 2
Cartesian
8.2922 2.0983 -0.0116
8.2679 0.0000 3.6068
9.7170 0.0000 1.1977
9.6927 2.0983 4.8161
2.6821 2.0983 4.8087
2.7064 0.0000 1.1903
5.9381 2.0983 2.3864
5.9139 0.0000 6.0048
2.5398 0.0000 6.0140
2.5641 2.0983 2.3956
2.6476 2.0983 7.2157
2.6719 0.0000 3.5973
```

Properties
The uncorrected formation energy is -0.78 eV per atom. The energy above the most stable polymorph in this dataset is 0.001 eV per atom. The total energy comes out at -4.251 eV per atom.

***

An optimized crystal structure of Cs2InIrCl6. Source: Alexandria, functional PBE.

Cell and atoms, written as POSCAR:
```
Cs2InIrCl6
1.0
7.5874 0.0000 0.0000
0.0000 7.5874 0.0000
3.7937 3.7937 5.3624
Cl Cs In Ir
6 2 1 1
Cartesian
5.8999 5.8999 0.0000
1.6875 5.8999 0.0000
7.5874 7.5874 2.3866
1.6875 1.6875 0.0000
3.7937 3.7937 2.9757
5.8999 1.6875 0.0000
3.7937 7.5874 2.6812
7.5874 3.7937 2.6812
3.7937 3.7937 0.0000
0.0000 0.0000 0.0000
```

Properties
The uncorrected formation energy is -1.20 eV per atom. The total energy comes out at -3.635 eV per atom.

***

An optimized crystal structure of Pr2NdY6. Source: Alexandria, functional PBE.

Cell and atoms, written as POSCAR:
```
Pr2NdY6
1.0
-2.6769 2.2230 0.5758
-5.6141 -1.9198 -7.9615
-7.4241 -6.4787 1.2246
Y Nd Pr
6 1 2
Cartesian
-4.2072 1.0966 -2.2488
-7.5210 -2.2401 -4.7886
-4.8094 -0.4204 0.8078
-11.5080 -7.2720 -3.9123
-8.1941 -3.9354 -1.3725
-10.9058 -5.7551 -6.9690
0.0000 0.0000 0.0000
-4.8846 -2.5336 -2.2198
-10.8306 -3.6419 -3.9413
```

Properties
The energy above the most stable polymorph in this dataset is 0.005 eV per atom. As for the formation enthalpy at 0 K: 0.10 eV per atom. The total energy comes out at -5.801 eV per atom.

***

An optimized crystal structure of Na2LiP. Source: Alexandria, functional PBE.

Cell and atoms, written as POSCAR:
```
Na2LiP
1.0
0.0000 3.3986 3.3986
3.3986 0.0000 3.3986
3.3986 3.3986 0.0000
P Na Li
1 2 1
Cartesian
3.3986 3.3986 3.3986
1.6993 1.6993 1.6993
5.0979 5.0979 5.0979
0.0000 0.0000 0.0000
```

Properties
The energy above the most stable polymorph in this dataset is 0.000 eV per atom. As for the formation enthalpy at 0 K: -0.28 eV per atom. The total energy comes out at -2.766 eV per atom.

***

An optimized crystal structure of LiMnSi2. Source: Alexandria, functional PBE.

Cell and atoms, written as POSCAR:
```
LiMnSi2
1.0
-2.1758 3.9277 0.6098
0.8256 -2.0373 3.9625
2.2753 1.2352 0.1607
Si Mn Li
2 1 1
Cartesian
-0.6751 0.9452 2.2861
0.0000 0.0000 0.0000
1.5504 -0.4011 2.0616
0.0497 2.5815 0.3852
```

Properties
The uncorrected formation energy is -0.11 eV per atom. The energy above the most stable polymorph in this dataset is 0.080 eV per atom. The total energy comes out at -5.595 eV per atom.

***

An optimized crystal structure of AcCu13. Source: Alexandria, functional PBE.

Cell and atoms, written as POSCAR:
```
AcCu13
1.0
7.1504 0.0000 4.1283
2.3835 6.7415 4.1283
0.0000 0.0000 8.2566
Cu Ac
26 2
Cartesian
7.0327 3.8026 9.2120
5.0132 5.3629 9.7410
2.8066 3.8026 9.7410
4.7669 3.3707 8.2566
2.6889 6.3096 9.9449
8.3714 4.7493 7.3011
6.7273 2.9388 6.7721
4.3438 6.3096 5.6127
0.0000 0.0000 0.0000
3.3582 5.3629 7.7276
6.8450 0.4319 6.5682
7.2681 6.3096 9.2120
6.1756 1.3785 8.7855
2.2657 0.4319 7.3011
3.6045 1.3785 9.2120
5.1901 0.4319 10.9004
5.7417 1.9922 4.6572
1.1624 1.9922 9.2120
2.5012 2.9388 7.3011
4.4615 3.8026 5.8167
3.7922 4.7493 11.8559
5.0723 2.9388 10.6965
5.9294 5.3629 7.3011
2.1372 4.7493 5.6127
7.3967 1.9922 10.9004
4.5207 1.3785 6.7721
2.3835 1.6854 4.1283
7.1504 5.0561 12.3849
```

Properties
As for the formation enthalpy at 0 K: -0.08 eV per atom. The total energy comes out at -4.174 eV per atom.

***

An optimized crystal structure of KLiRe2. Source: Alexandria, functional PBE.

Cell and atoms, written as POSCAR:
```
KLiRe2
1.0
2.5792 0.0000 0.0000
0.0000 2.5792 0.0000
0.0000 0.0000 10.5287
Re Li K
2 1 1
Cartesian
0.0000 0.0000 10.1715
0.0000 0.0000 5.6216
1.2896 1.2896 7.8966
1.2896 1.2896 2.6322
```

Properties
The energy above the most stable polymorph in this dataset is 0.341 eV per atom. As for the formation enthalpy at 0 K: 0.96 eV per atom. The total energy comes out at -6.019 eV per atom.

***

An optimized crystal structure of Th2Ga5Ni3. Source: Alexandria, functional PBE.

Cell and atoms, written as POSCAR:
```
Th2Ga5Ni3
1.0
4.1829 0.0000 0.0000
0.0000 4.1829 0.0000
0.0000 0.0000 10.3310
Ga Ni Th
5 3 2
Cartesian
0.0000 0.0000 0.0000
2.0915 2.0915 5.1655
2.0915 0.0000 8.7431
0.0000 2.0915 1.5879
2.0915 2.0915 0.0000
0.0000 0.0000 5.1655
0.0000 2.0915 3.9032
2.0915 0.0000 6.4278
0.0000 2.0915 7.4664
2.0915 0.0000 2.8646
```

Properties
The energy above the most stable polymorph in this dataset is 0.127 eV per atom. As for the formation enthalpy at 0 K: -0.47 eV per atom. The total energy comes out at -5.206 eV per atom.

***

An optimized crystal structure of Cs5Rb2H6. Source: Alexandria, functional PBE.

Cell and atoms, written as POSCAR:
```
Cs5Rb2H6
1.0
-1.0172 -0.0957 -7.8026
-7.1897 -2.9328 -1.2769
-4.3145 15.0471 2.4607
H Cs Rb
12 10 4
Cartesian
-3.9976 9.2728 -6.0380
-4.6001 -0.5715 -6.6427
-6.9453 2.2619 -4.8245
-7.5492 -0.8747 -1.2329
-8.4111 10.1033 -4.3252
-4.9722 12.8934 -5.3859
-4.1103 1.9154 -2.2936
-5.5761 9.7568 -1.7942
-7.9214 12.5901 0.0239
-3.9092 5.9191 -3.1675
-8.5238 2.7459 -0.5807
-8.6122 6.0995 -3.4513
-8.8019 9.0989 -1.1479
-6.9903 12.4479 -2.9346
-5.5311 -0.4292 -3.6842
-5.6209 10.9067 1.0046
-6.9005 1.1120 -7.6233
-2.0295 4.0423 -1.7420
-6.1139 7.8180 -4.1184
-10.4919 7.9764 -4.8768
-3.7195 2.9198 -5.4708
-6.4076 4.2006 -2.5004
-3.4375 7.6791 -0.5686
-9.0839 4.3395 -6.0501
-10.6460 12.1367 -5.4491
-1.8755 -0.1180 -1.1697
```

Properties
The total energy comes out at -2.119 eV per atom.

***

An optimized crystal structure of Pm2ErSn9. Source: Alexandria, functional PBE.

Cell and atoms, written as POSCAR:
```
Pm2ErSn9
1.0
4.8125 0.0000 0.0000
0.0000 4.8125 0.0000
0.0000 0.0000 13.8060
Pm Sn Er
2 9 1
Cartesian
0.0000 0.0000 4.5821
0.0000 0.0000 9.2239
2.4063 2.4063 0.0000
0.0000 2.4063 2.2444
0.0000 2.4063 11.5616
2.4063 0.0000 11.5616
2.4063 2.4063 4.5748
2.4063 2.4063 9.2312
2.4063 0.0000 2.2444
0.0000 2.4063 6.9030
2.4063 0.0000 6.9030
0.0000 0.0000 0.0000
```

Properties
As for the formation enthalpy at 0 K: -0.46 eV per atom. The total energy comes out at -4.629 eV per atom.

***

An optimized crystal structure of Ba2SnAu3. Source: Alexandria, functional PBE.

Cell and atoms, written as POSCAR:
```
Ba2SnAu3
1.0
-3.2473 -1.1846 -3.2524
3.3976 -1.2893 -2.9227
-0.3557 -6.6483 6.2398
Ba Au Sn
2 3 1
Cartesian
-0.0730 -2.0506 0.8198
-1.8287 -6.3543 0.6772
1.5327 -5.3119 0.4045
0.0524 -1.8756 -2.8322
-0.0404 -4.4840 -1.7895
1.4393 -7.9349 1.4530
```

Properties
The energy above the most stable polymorph in this dataset is 0.004 eV per atom. As for the formation enthalpy at 0 K: -0.69 eV per atom. The total energy comes out at -3.632 eV per atom.